(1)
Entry from Alexandria via LeMat-Bulk: a relaxed structure of Mg2CuSb (PBE).

a = 4.881 Å, b = 4.881 Å, c = 4.881 Å
α = 60.00°, β = 60.00°, γ = 60.00°
Fractional positions:
Mg1 0.000 0.000 0.000
Mg2 0.250 0.250 0.250
Cu1 0.500 0.500 0.500
Sb1 0.750 0.750 0.750

Computed properties:
Its formation energy (no corrections) is 1.6 kcal/mol of atoms. The value obtained for the total DFT energy (no corrections) is -2.78 eV per atom.

(2)
Entry from Alexandria via LeMat-Bulk: a relaxed structure of La3Ag4Sn4 (PBE).

a = 9.068 Å, b = 9.068 Å, c = 9.068 Å
α = 149.53°, β = 131.30°, γ = 58.54°
Fractional positions:
La1 0.000 0.000 0.000
La2 0.369 0.869 0.500
La3 0.631 0.131 0.500
Ag1 0.024 0.331 0.693
Ag2 0.361 0.669 0.693
Ag3 0.639 0.331 0.307
Ag4 0.976 0.669 0.307
Sn1 0.216 0.216 0.000
Sn2 0.307 0.500 0.807
Sn3 0.693 0.500 0.193
Sn4 0.784 0.784 0.000

Computed properties:
The value obtained for the total DFT energy (no corrections) is -4.42 eV per atom. The calculation puts the formation energy at -0.59 eV per atom.

(3)
Entry from Alexandria via LeMat-Bulk: a relaxed structure of TaSiTc2 (PBE).

a = 2.888 Å, b = 4.043 Å, c = 5.143 Å
α = 90.00°, β = 90.00°, γ = 90.00°
Fractional positions:
Ta1 0.000 0.000 0.000
Si1 0.500 0.500 0.740
Tc1 0.000 0.000 0.514
Tc2 0.500 0.500 0.255

Computed properties:
Its formation energy (no corrections) is -5.5 kcal/mol of atoms. The value obtained for the total DFT energy (no corrections) is -9.74 eV per atom.

(4)
Entry from Alexandria via LeMat-Bulk: a relaxed structure of ErSc2Al (PBE).

a = 5.073 Å, b = 5.073 Å, c = 5.073 Å
α = 60.00°, β = 60.00°, γ = 60.00°
Fractional positions:
Er1 0.000 0.000 0.000
Sc1 0.250 0.250 0.250
Sc2 0.750 0.750 0.750
Al1 0.500 0.500 0.500

Computed properties:
The value obtained for the total DFT energy (no corrections) is -5.32 eV per atom. The value obtained for the excess energy over the best structure of this formula in the dataset is 147.0 meV per atom. The calculation puts the formation energy at -0.08 eV per atom.

(5)
Entry from Alexandria via LeMat-Bulk: a relaxed structure of Sr2Ga3Pd4Au (PBE).

a = 4.433 Å, b = 4.433 Å, c = 10.597 Å
α = 90.00°, β = 90.00°, γ = 90.00°
Fractional positions:
Sr1 0.000 0.500 0.248
Sr2 0.500 0.000 0.752
Ga1 0.000 0.000 0.000
Ga2 0.000 0.500 0.618
Ga3 0.500 0.000 0.382
Pd1 0.000 0.000 0.500
Pd2 0.000 0.500 0.852
Pd3 0.500 0.000 0.148
Pd4 0.500 0.500 0.500
Au1 0.500 0.500 0.000

Computed properties:
The value obtained for the total DFT energy (no corrections) is -4.33 eV per atom. The calculation puts the formation energy at -0.68 eV per atom.

(6)
Entry from Alexandria via LeMat-Bulk: a relaxed structure of Zr6Tl3Fe (PBE).

a = 6.202 Å, b = 6.202 Å, c = 7.280 Å
α = 103.30°, β = 103.30°, γ = 62.14°
Fractional positions:
Zr1 0.133 0.643 0.641
Zr2 0.335 0.335 0.169
Zr3 0.357 0.867 0.359
Zr4 0.643 0.133 0.641
Zr5 0.665 0.665 0.831
Zr6 0.867 0.357 0.359
Tl1 0.000 0.000 0.000
Tl2 0.177 0.177 0.743
Tl3 0.823 0.823 0.257
Fe1 0.500 0.500 0.500

Computed properties:
The value obtained for the total DFT energy (no corrections) is -6.54 eV per atom. The calculation puts the formation energy at 0.15 eV per atom.

| no. | V (Å³ per cell) |
| --- | --- |
| 1 | 82 |
| 2 | 282 |
| 3 | 60 |
| 4 | 92 |
| 5 | 208 |
| 6 | 238 |